Entry 1:
## Pa3GaGe (PBE)

Data for Pa3GaGe after structural relaxation.

Unit cell a=5.513 b=7.103 c=7.103 alpha=119.99 beta=90.00 gamma=90.00
Fractional coordinates of all 10 atoms:
Pa  0.750  0.205  0.409
Pa  0.250  0.409  0.205
Ga  0.500  0.000  0.000
Pa  0.750  0.205  0.795
Ge  0.250  0.334  0.666
Ge  0.750  0.666  0.334
Pa  0.250  0.795  0.205
Pa  0.750  0.591  0.795
Ga  0.000  0.000  0.000
Pa  0.250  0.795  0.591

size of the total moment	0.000	μB/atom
total energy	-0.5257	Ry per atom
mass density	11.52	g cm⁻³

=====

Entry 2:
## TaAlAu2 (PBE)

Data for TaAlAu2 after structural relaxation.

Unit cell a=4.826 b=4.826 c=5.317 alpha=80.68 beta=80.68 gamma=35.13
Fractional coordinates of all 4 atoms:
Al  0.250  0.250  0.250
Ta  0.750  0.750  0.750
Au  0.995  0.995  0.001
Au  0.505  0.505  0.499

size of the total moment	0.000	μB/atom
total energy	-0.4117	Ry per atom
mass density	14.23	g cm⁻³

=====

Entry 3:
## CeY6Ho8 (PBE)

Data for CeY6Ho8 after structural relaxation.

Unit cell a=8.591 b=8.591 c=8.591 alpha=63.21 beta=63.21 gamma=63.21
Fractional coordinates of all 15 atoms:
Y  0.769  0.895  0.460
Ho  0.888  0.283  0.249
Ho  0.717  0.751  0.112
Y  0.895  0.460  0.769
Y  0.105  0.540  0.231
Ho  0.112  0.717  0.751
Y  0.540  0.231  0.105
Y  0.231  0.105  0.540
Ho  0.283  0.249  0.888
Ho  0.249  0.888  0.283
Y  0.460  0.769  0.895
Ho  0.751  0.112  0.717
Ce  0.000  0.000  0.000
Ho  0.423  0.423  0.423
Ho  0.577  0.577  0.577

size of the total moment	0.091	μB/atom
total energy	-0.3893	Ry per atom
mass density	6.89	g cm⁻³

=====

Entry 4:
## Ca2GeO4F (PBE)

Data for Ca2GeO4F after structural relaxation.

Unit cell a=3.121 b=5.352 c=6.566 alpha=67.04 beta=76.25 gamma=73.05
Fractional coordinates of all 8 atoms:
Ge  0.000  0.000  0.000
F  0.500  0.500  0.500
O  0.395  0.273  0.937
Ca  0.823  0.662  0.693
O  0.148  0.989  0.715
O  0.605  0.727  0.063
Ca  0.177  0.338  0.307
O  0.852  0.011  0.285

size of the total moment	0.126	μB/atom
mass density	4.09	g cm⁻³
formation energy (no corrections)	-2.30	eV/atom